[1]
# BeFeP (PBE, optimized geometry)
# Excess energy over the best structure of this formula in the dataset = 61 meV per atom
# ΔH_f (0 K) = -0.341 eV per atom
data_BeFeP
_symmetry_space_group_name_H-M 'P 1'
_symmetry_Int_Tables_number 1
_symmetry_space_group_name_Hall 'P 1'
_cell_length_a 3.980
_cell_length_b 4.001
_cell_length_c 4.220
_cell_angle_alpha 79.94
_cell_angle_beta 87.99
_cell_angle_gamma 61.18
loop_
_atom_site_label
_atom_site_type_symbol
_atom_site_fract_x
_atom_site_fract_y
_atom_site_fract_z
_atom_site_occupancy
Be1 Be 0.638 0.965 0.750 1
P1 P 0.713 0.352 0.267 1
Be2 Be 0.362 0.035 0.250 1
Fe1 Fe 0.975 0.298 0.779 1
P2 P 0.287 0.648 0.733 1
Fe2 Fe 0.025 0.702 0.221 1

***

[2]
# YTaIr (PBE, optimized geometry)
# Excess energy over the best structure of this formula in the dataset = 183 meV per atom
# ΔH_f (0 K) = -0.394 eV per atom
data_YTaIr
_symmetry_space_group_name_H-M 'P 1'
_symmetry_Int_Tables_number 1
_symmetry_space_group_name_Hall 'P 1'
_cell_length_a 5.548
_cell_length_b 4.453
_cell_length_c 5.564
_cell_angle_alpha 90.00
_cell_angle_beta 106.07
_cell_angle_gamma 90.00
loop_
_atom_site_label
_atom_site_type_symbol
_atom_site_fract_x
_atom_site_fract_y
_atom_site_fract_z
_atom_site_occupancy
Y1 Y 0.934 0.750 0.739 1
Ta1 Ta 0.467 0.250 0.840 1
Ir1 Ir 0.611 0.250 0.403 1
Ir2 Ir 0.389 0.750 0.597 1
Ta2 Ta 0.533 0.750 0.160 1
Y2 Y 0.066 0.250 0.261 1

***

[3]
# NbSi2Ru (PBE, optimized geometry)
# Formation energy without anion corrections = 45 meV/atom
data_NbSi2Ru
_symmetry_space_group_name_H-M 'P 1'
_symmetry_Int_Tables_number 1
_symmetry_space_group_name_Hall 'P 1'
_cell_length_a 3.823
_cell_length_b 3.823
_cell_length_c 9.223
_cell_angle_alpha 78.04
_cell_angle_beta 78.04
_cell_angle_gamma 90.00
loop_
_atom_site_label
_atom_site_type_symbol
_atom_site_fract_x
_atom_site_fract_y
_atom_site_fract_z
_atom_site_occupancy
Si1 Si 0.375 0.338 0.750 1
Si2 Si 0.088 0.625 0.250 1
Ru1 Ru 0.750 0.250 0.500 1
Nb1 Nb 0.250 0.750 0.500 1
Ru2 Ru 0.000 0.000 0.000 1
Si3 Si 0.662 0.125 0.250 1
Si4 Si 0.875 0.912 0.750 1
Nb2 Nb 0.500 0.500 0.000 1

***

[4]
# Ti2FeCoN (PBE, optimized geometry)
# Formation energy without anion corrections = 462 meV/atom
data_Ti2FeCoN
_symmetry_space_group_name_H-M 'P 1'
_symmetry_Int_Tables_number 1
_symmetry_space_group_name_Hall 'P 1'
_cell_length_a 4.580
_cell_length_b 3.382
_cell_length_c 4.580
_cell_angle_alpha 90.00
_cell_angle_beta 90.00
_cell_angle_gamma 90.00
loop_
_atom_site_label
_atom_site_type_symbol
_atom_site_fract_x
_atom_site_fract_y
_atom_site_fract_z
_atom_site_occupancy
Ti1 Ti 0.500 0.000 0.000 1
Co1 Co 0.500 0.500 0.500 1
N1 N 0.000 0.500 0.000 1
Ti2 Ti 0.000 0.000 0.500 1
Fe1 Fe 0.000 0.000 0.000 1

***

[5]
# AcLa2Pm2Ho2 (PBE, optimized geometry)
# ΔH_f (0 K) = 0.038 eV per atom
data_AcLa2Pm2Ho2
_symmetry_space_group_name_H-M 'P 1'
_symmetry_Int_Tables_number 1
_symmetry_space_group_name_Hall 'P 1'
_cell_length_a 5.221
_cell_length_b 6.393
_cell_length_c 8.283
_cell_angle_alpha 97.47
_cell_angle_beta 90.00
_cell_angle_gamma 114.10
loop_
_atom_site_label
_atom_site_type_symbol
_atom_site_fract_x
_atom_site_fract_y
_atom_site_fract_z
_atom_site_occupancy
Pm1 Pm 0.859 0.718 0.569 1
La1 La 0.715 0.429 0.148 1
Ac1 Ac 0.000 0.000 0.000 1
Ho1 Ho 0.574 0.148 0.704 1
Ho2 Ho 0.426 0.852 0.296 1
Pm2 Pm 0.141 0.282 0.431 1
La2 La 0.285 0.571 0.852 1